Material: RbAgBr2
Method: DFT, PBE-GGA
State: relaxed

Properties
Magnetization, μB per cell: 0.00
E_tot, eV/atom: -2.76
DOS(E_F), states/eV/cell: 0.0
Calculated volume, Å³ per atom: 32.35

a b c (Å): 4.442 4.442 7.996
angles (deg): 73.87 73.87 60.00
Element x y z (fractional)
Rb1 0.499 0.499 0.503
Br1 0.067 0.067 0.800
Br2 0.267 0.267 0.200
Ag1 0.668 0.668 0.996

---

Material: Rb5AgBr4
Method: DFT, PBE-GGA
State: relaxed

Properties
Magnetization, μB per cell: 0.00
E_tot, eV/atom: -2.80
DOS(E_F), states/eV/cell: 0.0
Calculated volume, Å³ per atom: 44.38

a b c (Å): 5.005 5.005 18.071
angles (deg): 97.96 97.96 90.00
Element x y z (fractional)
Ag1 0.000 0.000 0.000
Br1 0.201 0.201 0.402
Br2 0.799 0.799 0.598
Br3 0.601 0.601 0.203
Br4 0.399 0.399 0.797
Rb1 0.700 0.700 0.401
Rb2 0.300 0.300 0.599
Rb3 0.897 0.897 0.794
Rb4 0.500 0.500 0.000
Rb5 0.103 0.103 0.206

---

Number 1: formation energy (no corrections) -0.970 eV/atom. Number 2: formation energy (no corrections) -1.364 eV/atom.